SrFeP2 at its PBEsol-relaxed geometry, computed with SCAN.

Unit cell a=4.7758 b=4.7758 c=7.7749 alpha=107.89 beta=107.89 gamma=90.00
Closest atoms and distances in Å follow each position.
Fractional positions:
Sr  0.0000  0.0000  0.0000  8 P 3.19, 4 Fe 3.38
Sr  0.2500  0.7500  0.5000  8 P 3.19, 4 Fe 3.38
Fe  0.5000  0.5000  0.0000  4 P 2.12
Fe  0.7500  0.2500  0.5000  4 P 2.12
P  0.6250  0.3750  0.7500  2 Fe 2.12
P  0.1250  0.3750  0.7500  2 Fe 2.12
P  0.6250  0.8750  0.2500  2 Fe 2.12
P  0.6250  0.3750  0.2500  2 Fe 2.12

Output
N(E_F) in states/eV/cell: 3.6
Symmetry: I4_1/amd
Crystal system: tetragonal
E above lowest polymorph in meV per atom: 0



SrFeP at its PBEsol-relaxed geometry, computed with SCAN.

Unit cell a=3.1191 b=3.1191 c=5.7917 alpha=105.62 beta=105.62 gamma=90.00
Closest atoms and distances in Å follow each position.
Fractional positions:
Fe  0.9514  0.9514  0.9029  4 P 2.33
P  0.3808  0.3808  0.7615  4 Fe 2.33
Sr  0.6678  0.6678  0.3356  5 Fe 3.04-3.20, 5 P 3.07-3.17, 4 Sr 3.12

Output
N(E_F) in states/eV/cell: 1.0
Symmetry: I4mm
Crystal system: tetragonal



Ta2FeP at its PBEsol-relaxed geometry, computed with SCAN.

Unit cell a=3.2252 b=4.2084 c=4.2084 alpha=90.00 beta=90.00 gamma=90.00
Closest atoms and distances in Å follow each position.
Fractional positions:
Fe  0.5000  0.5000  0.5000  8 Ta 2.65
P  0.5000  0.0000  0.0000  8 Ta 2.65
Ta  0.0000  0.0000  0.5000  4 Fe 2.65, 4 P 2.65
Ta  0.0000  0.5000  0.0000  4 Fe 2.65, 4 P 2.65

Output
N(E_F) in states/eV/cell: 2.4
Symmetry: P4/mmm
Crystal system: tetragonal



TaFe2P at its PBEsol-relaxed geometry, computed with SCAN.

Unit cell a=2.7671 b=4.4695 c=4.8087 alpha=115.79 beta=103.87 gamma=95.93
Closest atoms and distances in Å follow each position.
Fractional positions:
Fe  0.5000  0.5000  0.5000  2 P 2.47, 2 Ta 2.47, 4 Fe 2.50-2.75
Fe  0.0000  0.0000  0.5000  2 Ta 2.47, 2 P 2.47, 4 Fe 2.50-2.75
P  0.0000  0.5000  0.0000  4 Fe 2.47, 4 Ta 2.50-2.75
Ta  0.5000  0.0000  0.0000  4 Fe 2.47, 4 P 2.50-2.75

Output
N(E_F) in states/eV/cell: 3.0
Symmetry: C2/m
Crystal system: monoclinic



Number 1: energy -126.8 eV per cell, theoretical density 4.27 g cm⁻³. Number 2: energy -51.1 eV per cell, theoretical density 5.56 g cm⁻³. Number 3: energy -162.6 eV per cell, theoretical density 13.04 g cm⁻³. Number 4: energy -113.1 eV per cell, theoretical density 10.64 g cm⁻³.